A plane-wave DFT calculation with PBE was carried out for an optimized crystal structure of CsHoTe4.

a b c (Å): 6.872 6.872 9.600
angles (deg): 90.00 90.00 90.00
Atoms (fractional coordinates):
1 Cs 0.250 0.250 0.000
2 Cs 0.750 0.750 0.000
3 Ho 0.250 0.250 0.500
4 Ho 0.750 0.750 0.500
5 Te 0.104 0.604 0.310
6 Te 0.104 0.896 0.690
7 Te 0.396 0.604 0.690
8 Te 0.396 0.896 0.310
9 Te 0.604 0.104 0.690
10 Te 0.604 0.396 0.310
11 Te 0.896 0.104 0.310
12 Te 0.896 0.396 0.690

Volume = 37.774 Å³/atom
ΔE_f (raw) = -5.6 eV per formula unit
DOS at the Fermi energy = 0.106 states/eV/atom
Size of the total moment = 0.000 μB/f.u.
Space group = P4/nbm